Record 1
DFT (PBE) results for Dy4ThSc8 after structural relaxation.

Unit cell a=10.4329 b=10.4329 c=12.7395 alpha=90.00 beta=90.00 gamma=120.00
Space group R-3m (No. 166, hexagonal axes)
Inequivalent atoms, fractional coordinates:
Dy: 0.0000 0.0000 0.0000 x3
Dy: 0.0000 0.5000 0.0000 x9
Th: 0.0000 0.0000 0.5000 x3
Sc: 0.0000 0.0000 0.2401 x6
Sc: 0.0129 0.5065 0.7461 x18

Calculated total energy, eV/atom: -5.299

---

Record 2
DFT (PBE) results for Dy5Th4Sc4 after structural relaxation.

Unit cell a=12.4634 b=12.4634 c=4.9540 alpha=90.00 beta=90.00 gamma=90.00
Space group I4/m (No. 87)
Inequivalent atoms, fractional coordinates:
Dy: 0.0000 0.0000 0.0000 x2
Dy: 0.0408 0.8066 0.5000 x8
Th: 0.0760 0.6184 0.0000 x8
Sc: 0.1548 0.2338 0.0000 x8

Calculated total energy, eV/atom: -5.954